Computed, not measured: Cd2MoSe at its PBEsol-relaxed geometry at the meta-GGA SCAN level of DFT.

The total energy is -28.516 eV/atom. As for the crystal system: tetragonal. The value obtained for the formation energy (no corrections) is 0.432 eV/atom.

The structure belongs to space group I4/mmm (No. 139); the cell edges are 3.8160, 3.8160 and 9.9763 Å and the angles 90.00°, 90.00° and 90.00°. The distinct sites, in fractional coordinates, are Cd at (0.0000, 0.5000, 0.2500), Mo at (0.0000, 0.0000, 0.0000) and Se at (0.0000, 0.0000, 0.5000).

***

Computed, not measured: Cd2MoSe at its PBEsol-relaxed geometry at the meta-GGA SCAN level of DFT.

The total energy is -28.667 eV/atom. As for the crystal system: orthorhombic. The value obtained for the formation energy (no corrections) is 0.281 eV/atom.

The structure belongs to space group Amm2 (No. 38); the cell edges are 4.3461, 3.1976 and 10.8575 Å and the angles 90.00°, 90.00° and 90.00°. The distinct sites, in fractional coordinates, are Cd at (0.0000, 0.0000, 0.0000), Cd at (0.5000, 0.0000, 0.3569), Mo at (0.0000, 0.0000, 0.7379) and Se at (0.5000, 0.0000, 0.6299).

***

Computed, not measured: Cd2MoSe at its PBEsol-relaxed geometry at the meta-GGA SCAN level of DFT.

The total energy is -28.352 eV/atom. As for the crystal system: cubic. The value obtained for the formation energy (no corrections) is 0.596 eV/atom.

The structure belongs to space group F-43m (No. 216); the cell edges are 6.6473, 6.6473 and 6.6473 Å and the angles 90.00°, 90.00° and 90.00°. The distinct sites, in fractional coordinates, are Cd at (0.0000, 0.0000, 0.0000), Cd at (0.2500, 0.2500, 0.2500), Mo at (0.2500, 0.2500, 0.7500) and Se at (0.0000, 0.0000, 0.5000).

***

Computed, not measured: Cd2MoSe at its PBEsol-relaxed geometry at the meta-GGA SCAN level of DFT.

The total energy is -28.434 eV/atom. As for the crystal system: orthorhombic. The value obtained for the formation energy (no corrections) is 0.514 eV/atom.

The structure belongs to space group Pmmm (No. 47); the cell edges are 3.1490, 4.5105 and 5.1237 Å and the angles 90.00°, 90.00° and 90.00°. The distinct sites, in fractional coordinates, are Cd at (0.0000, 0.0000, 0.0000), Cd at (0.5000, 0.5000, 0.0000), Mo at (0.0000, 0.5000, 0.5000) and Se at (0.5000, 0.0000, 0.5000).